A plane-wave DFT calculation with PBE-GGA was carried out for an optimized crystal structure of Zn2Ag7Au2.

a b c (Å): 5.033 5.033 8.147
angles (deg): 92.37 92.37 109.40
Fractional positions:
Zn  0.202  0.202  0.366
Zn  0.798  0.798  0.634
Ag  0.000  0.000  0.000
Ag  0.185  0.571  0.146
Ag  0.260  0.260  0.705
Ag  0.429  0.815  0.854
Ag  0.571  0.185  0.146
Ag  0.740  0.740  0.295
Ag  0.815  0.429  0.854
Au  0.262  0.738  0.500
Au  0.738  0.262  0.500

Properties
Uncorrected energy   -2.6583 eV per atom
Symmetry   No. 12
Formation energy from the elements   -0.02 eV per atom
N(E_F)   3.823 states/eV per cell
Crystal system   monoclinic
Energy relative to the lowest polymorph listed for this composition   1.33 kJ/mol of atoms



A plane-wave DFT calculation with PBE-GGA was carried out for an optimized crystal structure of Dy3Th5Sb8.

a b c (Å): 8.914 8.914 8.914
angles (deg): 60.17 60.17 60.17
Fractional positions:
Dy  0.000  0.500  0.500
Dy  0.500  0.000  0.500
Dy  0.500  0.500  0.000
Th  0.000  0.000  0.000
Th  0.000  0.000  0.500
Th  0.000  0.500  0.000
Th  0.500  0.000  0.000
Th  0.500  0.500  0.500
Sb  0.250  0.250  0.744
Sb  0.250  0.744  0.250
Sb  0.253  0.253  0.253
Sb  0.256  0.750  0.750
Sb  0.744  0.250  0.250
Sb  0.747  0.747  0.747
Sb  0.750  0.256  0.750
Sb  0.750  0.750  0.256

Properties
Uncorrected energy   -6.2337 eV per atom
Symmetry   No. 166
Raw formation energy   -991 meV per atom
N(E_F)   8.953 states/eV per cell
Crystal system   trigonal